Density functional theory data (GGA-PBE) for Pr3Te2 after structural relaxation.

Calculated values
Its raw total energy is -26.41 eV/f.u. The value obtained for the spin magnetization is 0.06 μB/f.u. The volume comes out at 650.7 Å³/cell.

abc: 12.389 4.304 12.203
angles: 90.00 90.00 90.00
Atoms (fractional coordinates):
Pr 0.454 0.750 0.876
Pr 0.380 0.250 0.437
Pr 0.286 0.750 0.208
Pr 0.046 0.250 0.376
Pr 0.880 0.250 0.063
Pr 0.120 0.750 0.937
Pr 0.714 0.250 0.792
Pr 0.620 0.750 0.563
Pr 0.214 0.250 0.708
Pr 0.786 0.750 0.292
Pr 0.546 0.250 0.124
Pr 0.954 0.750 0.624
Te 0.028 0.750 0.183
Te 0.972 0.250 0.817
Te 0.807 0.250 0.495
Te 0.307 0.250 0.005
Te 0.528 0.750 0.317
Te 0.693 0.750 0.995
Te 0.193 0.750 0.505
Te 0.472 0.250 0.683